# RbPrW2O8 | Alexandria | PBE with a Hubbard U | optimized geometry
# M_tot ... 0.0 Bohr magnetons per cell
# Density of states at the Fermi level ... 0.00 states/eV/f.u.
# VASP energy ... -7.39 eV per atom
data_RbPrW2O8
_cell_length_a 11.114
_cell_length_b 11.003
_cell_length_c 7.592
_cell_angle_alpha 90.00
_cell_angle_beta 130.21
_cell_angle_gamma 90.00
_symmetry_space_group_name_H-M 'C 1 2/c 1'
_symmetry_Int_Tables_number 15
loop_
_symmetry_equiv_pos_as_xyz
'x,y,z'
'-x,-y,-z'
'-x,y,-z+1/2'
'x,-y,z+1/2'
'x+1/2,y+1/2,z'
'-x+1/2,-y+1/2,-z'
'-x+1/2,y+1/2,-z+1/2'
'x+1/2,-y+1/2,z+1/2'
loop_
_atom_site_label
_atom_site_fract_x
_atom_site_fract_y
_atom_site_fract_z
Rb1 0.000 0.206 0.250
Pr1 0.000 0.225 0.750
W1 0.192 0.495 0.717
O1 0.019 0.393 0.973
O2 0.138 0.086 0.692
O3 0.186 0.441 0.440
O4 0.221 0.154 0.136